Na3HF | PBE | relaxed

It has space group Pm-3m (No. 221), with a = 4.657 Å, b = 4.657 Å, c = 4.657 Å, α = 90.00°, β = 90.00° and γ = 90.00°. The asymmetric unit holds Na at (0.000, 0.000, 0.500), H at (0.500, 0.500, 0.500) and F at (0.000, 0.000, 0.000).

***

NaHF2 | PBE | relaxed

It has space group P6_3/mmc (No. 194), with a = 3.4924 Å, b = 3.4924 Å, c = 9.2960 Å, α = 90.00°, β = 90.00° and γ = 120.00°. The asymmetric unit holds Na at (0.0000, 0.0000, 0.0000), H at (0.3333, 0.6667, 0.2500) and F at (0.3333, 0.6667, 0.1264).

***

Na3H2F8 | PBE | relaxed

It has space group R-3m (No. 166, hexagonal axes), with a = 4.8381 Å, b = 4.8381 Å, c = 20.5627 Å, α = 90.00°, β = 90.00° and γ = 120.00°. The asymmetric unit holds Na at (0.0000, 0.0000, 0.0000), Na at (0.0000, 0.0000, 0.2066), H at (0.0000, 0.0000, 0.3710), F at (0.0000, 0.0000, 0.3240) and F at (0.0053, 0.5026, 0.7688).

***

Short version: volume = 20.19; 12.27; 10.69 A^3/atom, in the order given.
Short version: size of the total moment = 0.0; 0.0; 3.0 μB/f.u., in the order given.
Short version: E_tot = -2.646; -4.376; -3.630 eV/atom, in the order given.